# 1
# Ti2PAuSe (PBE-GGA, optimized geometry)
data_Ti2PAuSe
_symmetry_space_group_name_H-M 'P 1'
_symmetry_Int_Tables_number 1
_cell_length_a 4.614
_cell_length_b 4.755
_cell_length_c 4.614
_cell_angle_alpha 90.00
_cell_angle_beta 90.00
_cell_angle_gamma 90.00
loop_
_symmetry_equiv_pos_as_xyz
'x,y,z'
loop_
_atom_site_label
_atom_site_fract_x
_atom_site_fract_y
_atom_site_fract_z
Ti1 0.500 0.000 0.000
P1 0.000 0.000 0.000
Se1 0.000 0.500 0.000
Ti2 0.000 0.000 0.500
Au1 0.500 0.500 0.500
# * space group: P4/mmm (123)
# * formation energy without anion corrections: 15.1 kJ/mol of atoms

***

# 2
# MgZnCd2 (PBE-GGA, optimized geometry)
data_MgZnCd2
_symmetry_space_group_name_H-M 'P 1'
_symmetry_Int_Tables_number 1
_cell_length_a 4.886
_cell_length_b 4.886
_cell_length_c 3.638
_cell_angle_alpha 90.00
_cell_angle_beta 90.00
_cell_angle_gamma 106.77
loop_
_symmetry_equiv_pos_as_xyz
'x,y,z'
loop_
_atom_site_label
_atom_site_fract_x
_atom_site_fract_y
_atom_site_fract_z
Cd1 0.000 0.000 0.000
Cd2 0.500 0.500 0.000
Zn1 0.000 0.500 0.500
Mg1 0.500 0.000 0.500
# * space group: Cmmm (65)
# * ΔH_f (0 K): -0.010 eV per atom
# * distance to the lowest polymorph of the same formula: 11 meV/atom

***

# 3
# MgTa2Ir (PBE-GGA, optimized geometry)
data_MgTa2Ir
_symmetry_space_group_name_H-M 'P 1'
_symmetry_Int_Tables_number 1
_cell_length_a 2.953
_cell_length_b 2.953
_cell_length_c 8.112
_cell_angle_alpha 90.00
_cell_angle_beta 90.00
_cell_angle_gamma 90.00
loop_
_symmetry_equiv_pos_as_xyz
'x,y,z'
loop_
_atom_site_label
_atom_site_fract_x
_atom_site_fract_y
_atom_site_fract_z
Mg1 0.500 0.500 0.717
Ta1 0.000 0.000 0.011
Ta2 0.500 0.500 0.281
Ir1 0.000 0.000 0.492
# * space group: P4mm (99)
# * ΔH_f (0 K): -0.151 eV per atom

***

# 4
# Pu2SbI (PBE-GGA, optimized geometry)
data_Pu2SbI
_symmetry_space_group_name_H-M 'P 1'
_symmetry_Int_Tables_number 1
_cell_length_a 4.249
_cell_length_b 4.249
_cell_length_c 8.483
_cell_angle_alpha 75.50
_cell_angle_beta 75.50
_cell_angle_gamma 60.00
loop_
_symmetry_equiv_pos_as_xyz
'x,y,z'
loop_
_atom_site_label
_atom_site_fract_x
_atom_site_fract_y
_atom_site_fract_z
Pu1 0.257 0.257 0.228
Sb1 0.668 0.668 0.996
Pu2 0.077 0.077 0.769
I1 0.498 0.498 0.506
# * space group: R3m (160)
# * formation energy without anion corrections: -55.3 kJ/mol of atoms

***

# 5
# BaPr2ZnS5 (PBE-GGA, optimized geometry)
data_BaPr2ZnS5
_symmetry_space_group_name_H-M 'P 1'
_symmetry_Int_Tables_number 1
_cell_length_a 8.882
_cell_length_b 8.882
_cell_length_c 8.882
_cell_angle_alpha 126.76
_cell_angle_beta 126.76
_cell_angle_gamma 78.64
loop_
_symmetry_equiv_pos_as_xyz
'x,y,z'
loop_
_atom_site_label
_atom_site_fract_x
_atom_site_fract_y
_atom_site_fract_z
S1 0.486 0.986 0.203
S2 0.000 0.000 0.000
S3 0.014 0.217 0.500
S4 0.514 0.014 0.797
Ba1 0.750 0.750 0.000
S5 0.283 0.486 0.500
S6 0.217 0.717 0.203
Zn1 0.250 0.750 0.500
Zn2 0.750 0.250 0.500
Pr1 0.662 0.838 0.500
Pr2 0.338 0.162 0.500
S7 0.717 0.514 0.500
S8 0.986 0.783 0.500
S9 0.783 0.283 0.797
Pr3 0.838 0.338 0.176
Ba2 0.250 0.250 0.000
S10 0.500 0.500 0.000
Pr4 0.162 0.662 0.824
# * space group: I4/mcm (140)
# * formation energy without anion corrections: -172.4 kJ/mol of atoms

***

# 6
# Na4PmDy3S8 (PBE-GGA, optimized geometry)
data_Na4PmDy3S8
_symmetry_space_group_name_H-M 'P 1'
_symmetry_Int_Tables_number 1
_cell_length_a 8.029
_cell_length_b 8.136
_cell_length_c 8.029
_cell_angle_alpha 119.58
_cell_angle_beta 120.00
_cell_angle_gamma 90.00
loop_
_symmetry_equiv_pos_as_xyz
'x,y,z'
loop_
_atom_site_label
_atom_site_fract_x
_atom_site_fract_y
_atom_site_fract_z
Na1 0.000 0.000 0.500
Dy1 0.500 0.500 0.000
S1 0.258 0.274 0.516
Na2 0.500 0.000 0.000
S2 0.246 0.729 0.492
S3 0.754 0.271 0.508
S4 0.742 0.726 0.484
Dy2 0.500 0.500 0.500
Na3 0.500 0.000 0.500
S5 0.737 0.729 0.983
S6 0.754 0.271 0.017
Dy3 0.000 0.500 0.500
Na4 0.000 0.000 0.000
S7 0.246 0.729 0.983
Pm1 0.000 0.500 0.000
S8 0.263 0.271 0.017
# * space group: R-3m (166)
# * formation energy without anion corrections: -177.3 kJ/mol of atoms

***

# 7
# BaCaSe2Br (PBE-GGA, optimized geometry)
data_BaCaSe2Br
_symmetry_space_group_name_H-M 'P 1'
_symmetry_Int_Tables_number 1
_cell_length_a 5.967
_cell_length_b 5.967
_cell_length_c 5.987
_cell_angle_alpha 90.00
_cell_angle_beta 90.00
_cell_angle_gamma 90.00
loop_
_symmetry_equiv_pos_as_xyz
'x,y,z'
loop_
_atom_site_label
_atom_site_fract_x
_atom_site_fract_y
_atom_site_fract_z
Se1 0.500 0.000 0.000
Br1 0.000 0.000 0.500
Se2 0.000 0.500 0.000
Ba1 0.000 0.000 0.000
Ca1 0.500 0.500 0.500
# * space group: P4/mmm (123)
# * formation energy without anion corrections: -81.0 kJ/mol of atoms
# * distance to the lowest polymorph of the same formula: 668 meV/atom

***

# 8
# Pm4SiPb2 (PBE-GGA, optimized geometry)
data_Pm4SiPb2
_symmetry_space_group_name_H-M 'P 1'
_symmetry_Int_Tables_number 1
_cell_length_a 5.358
_cell_length_b 5.358
_cell_length_c 9.169
_cell_angle_alpha 106.99
_cell_angle_beta 106.99
_cell_angle_gamma 90.00
loop_
_symmetry_equiv_pos_as_xyz
'x,y,z'
loop_
_atom_site_label
_atom_site_fract_x
_atom_site_fract_y
_atom_site_fract_z
Pm1 0.173 0.173 0.347
Pm2 0.827 0.827 0.653
Pm3 0.000 0.500 0.000
Pb1 0.366 0.366 0.733
Si1 0.000 0.000 0.000
Pm4 0.500 0.000 0.000
Pb2 0.634 0.634 0.267
# * space group: I4/mmm (139)
# * formation energy without anion corrections: -35.9 kJ/mol of atoms
# * distance to the lowest polymorph of the same formula: 181 meV/atom